# Li2In3Ag5 (PBE, relaxed)
# Offset from the most stable computed form: 0.0 kJ/mol of formula units
# ΔE_f: -0.109 eV per atom
data_Li2In3Ag5
_symmetry_space_group_name_H-M 'C 1 2/c 1'
_symmetry_Int_Tables_number 15
_cell_length_a 10.038
_cell_length_b 13.725
_cell_length_c 5.705
_cell_angle_alpha 90.00
_cell_angle_beta 93.48
_cell_angle_gamma 90.00
loop_
_symmetry_equiv_pos_as_xyz
'x,y,z'
'-x,-y,-z'
'-x,y,-z+1/2'
'x,-y,z+1/2'
'x+1/2,y+1/2,z'
'-x+1/2,-y+1/2,-z'
'-x+1/2,y+1/2,-z+1/2'
'x+1/2,-y+1/2,z+1/2'
loop_
_atom_site_label
_atom_site_type_symbol
_atom_site_fract_x
_atom_site_fract_y
_atom_site_fract_z
_atom_site_occupancy
Li1 Li 0.125 0.244 0.116 1
In1 In 0.000 0.446 0.250 1
In2 In 0.134 0.150 0.615 1
Ag1 Ag 0.000 0.043 0.250 1
Ag2 Ag 0.124 0.350 0.645 1
Ag3 Ag 0.248 0.040 0.994 1